5
Lattice="-3.168 -2.765 0.506 1.912 -1.560 3.443 -2.098 2.854 2.459" Properties=species:S:1:pos:R:3 comment="LiBeOsAu2 PBE relaxed" delta_e_f_mev_per_atom=1059 magmom_total_mub_per_fu=0.21 sg="P4/mmm (123)" pbc="T T T"
Os -1.049 1.427 1.229
Li 0.000 0.000 0.000
Au 0.956 -0.780 1.721
Au -1.584 -1.383 0.253
Be -1.677 -0.736 3.204